# SrZnMo2

A PBEsol-optimized structure of SrZnMo2 (meta-GGA SCAN, Alexandria via LeMat-Bulk).

a b c (Å): 3.2199 3.2199 9.1414
angles (deg): 79.86 79.86 60.00
Fractional coordinates of all 4 atoms:
1 Sr 0.5007 0.5007 0.4979
2 Zn 0.2634 0.2634 0.2097
3 Mo 0.7321 0.7321 0.8037
4 Mo 0.0038 0.0038 0.9887

Calculated values
Energy of formation from the pure elements   0.6305 eV per atom
Total magnetization   0.000 μB/f.u.